No. 1
The following is a meta-GGA SCAN calculation of a crystal of TmGe2Rh2 relaxed with PBEsol, from Alexandria.

## Properties
The value obtained for the total energy is -325.20 eV per cell. The density of states at the Fermi level is 3.8 states/eV per cell. For the formation energy, the calculation gives -1.010 eV/atom.

Lattice parameters (Å, degrees): 4.056 4.056 10.177 90.00 90.00 90.00
Fractional coordinates of all 10 atoms:
Tm 0.000 0.000 0.000
Tm 0.500 0.500 0.500
Ge 0.000 0.000 0.380
Ge 0.000 0.000 0.620
Ge 0.500 0.500 0.120
Ge 0.500 0.500 0.880
Rh 0.000 0.500 0.250
Rh 0.000 0.500 0.750
Rh 0.500 0.000 0.250
Rh 0.500 0.000 0.750

---

No. 2
The following is a meta-GGA SCAN calculation of a crystal of Fe3PI relaxed with PBEsol, from Alexandria.

## Properties
The value obtained for the total energy is -92.72 eV per cell. The calculation puts the uncorrected formation energy at 8.81 eV/f.u. The density of states at the Fermi level is 3.4 states/eV per cell.

Lattice parameters (Å, degrees): 4.617 4.617 4.617 90.00 90.00 90.00
Fractional coordinates of all 5 atoms:
Fe 0.000 0.000 0.500
Fe 0.000 0.500 0.000
Fe 0.500 0.000 0.000
P 0.500 0.500 0.500
I 0.000 0.000 0.000

---

No. 3
The following is a meta-GGA SCAN calculation of a crystal of Zn2FeRh relaxed with PBEsol, from Alexandria.

## Properties
The value obtained for the total energy is -159.52 eV per cell. The density of states at the Fermi level is 6.1 states/eV per cell. For the formation energy, the calculation gives -0.207 eV/atom.

Lattice parameters (Å, degrees): 3.849 3.849 6.910 90.00 90.00 90.00
Fractional coordinates of all 8 atoms:
Zn 0.000 0.500 0.250
Zn 0.000 0.500 0.750
Zn 0.500 0.000 0.250
Zn 0.500 0.000 0.750
Fe 0.000 0.000 0.000
Fe 0.500 0.500 0.500
Rh 0.000 0.000 0.500
Rh 0.500 0.500 0.000